Ni2SeSCl PBE-GGA optimized geometry; E = -3.51 eV/atom; E_form (uncorrected) = 691 meV/atom
1.0
4.5157 0.0000 0.0000
0.0000 4.8535 0.0000
0.0000 0.0000 4.5157
S Ni Cl Se
1 2 1 1
Cartesian
0.0000 2.4268 0.0000
0.0000 0.0000 2.2578
2.2578 0.0000 0.0000
2.2578 2.4268 2.2578
0.0000 0.0000 0.0000